A plane-wave DFT calculation with GGA-PBE was carried out for an optimized crystal structure of Tb2Ni17.

Results
symmetry	P6_3/mmc (194)
formation enthalpy at 0 K	-0.202	eV per atom
volume	12.48	Å³ per atom
E above lowest polymorph	0	meV/atom

Cell lengths 8.267, 8.267, 8.012 Å; angles 90.00, 90.00, 120.00 degrees
Sites, in units of the cell vectors:
1 Ni 0.500 0.000 0.000
2 Ni 0.000 0.500 0.000
3 Ni 0.500 0.500 0.000
4 Ni 0.331 0.166 0.021
5 Ni 0.834 0.166 0.021
6 Ni 0.834 0.669 0.021
7 Ni 0.333 0.667 0.102
8 Ni 0.043 0.371 0.250
9 Ni 0.328 0.371 0.250
10 Ni 0.043 0.672 0.250
11 Ni 0.629 0.672 0.250
12 Ni 0.328 0.957 0.250
13 Ni 0.629 0.957 0.250
14 Ni 0.333 0.667 0.398
15 Ni 0.331 0.166 0.479
16 Ni 0.834 0.166 0.479
17 Ni 0.834 0.669 0.479
18 Ni 0.500 0.000 0.500
19 Ni 0.000 0.500 0.500
20 Ni 0.500 0.500 0.500
21 Ni 0.166 0.331 0.521
22 Ni 0.166 0.834 0.521
23 Ni 0.669 0.834 0.521
24 Ni 0.667 0.333 0.602
25 Ni 0.371 0.043 0.750
26 Ni 0.672 0.043 0.750
27 Ni 0.371 0.328 0.750
28 Ni 0.957 0.328 0.750
29 Ni 0.672 0.629 0.750
30 Ni 0.957 0.629 0.750
31 Ni 0.667 0.333 0.898
32 Ni 0.166 0.331 0.979
33 Ni 0.166 0.834 0.979
34 Ni 0.669 0.834 0.979
35 Tb 0.000 0.000 0.250
36 Tb 0.667 0.333 0.250
37 Tb 0.000 0.000 0.750
38 Tb 0.333 0.667 0.750